## Ac2CuNi6Ge (PBE-GGA)

Data for an optimized crystal structure of Ac2CuNi6Ge.

Space group: C2/m
VASP energy, eV/atom: -5.48
Fermi-level density of states, states/eV/cell: 5.01
ΔH_f (0 K), eV/f.u.: -3.16

Cell: 5.0556 8.1440 6.4695 Å, 50.04 66.99 90.00°
Atoms (fractional coordinates):
Cu  0.5000  0.5000  0.0000
Ni  0.2517  0.4150  0.4966
Ni  0.2350  0.7360  0.0469
Ni  0.2818  0.2640  0.9531
Ni  0.7483  0.5850  0.5034
Ni  0.7182  0.7360  0.0469
Ni  0.7650  0.2640  0.9532
Ac  0.2385  0.7853  0.5231
Ac  0.7615  0.2147  0.4769
Ge  0.0000  0.0000  0.0000